## TiTcB2 (PBE)

Data for a relaxed structure of TiTcB2.

Results
density of states at the Fermi level	0.53	states/eV/atom
calculated total energy	-8.67	eV/atom
crystal system	orthorhombic
energy of formation from the pure elements	-296	kJ/mol of formula units
theoretical density	6.89	g/cm³

Cell and atoms, written as POSCAR:
```
TiTcB2
1.0
3.038 0.000 0.000
0.000 4.473 0.000
0.000 0.000 5.939
Ti Tc B
2 2 4
Cartesian
1.519 1.645 1.924
1.519 2.828 4.893
0.000 0.640 4.009
0.000 3.833 1.039
0.000 2.922 3.165
0.000 1.551 0.195
1.519 3.812 2.782
1.519 0.661 5.752
```